Computed, not measured: an optimized crystal structure of ThAlH8Ru2 at the PBE-GGA level of DFT.

a = 4.5650 Å, b = 4.5650 Å, c = 6.0953 Å
α = 68.01°, β = 68.01°, γ = 60.00°
With the nearest neighbours (Å) after each atom.
Atoms (fractional coordinates):
Th: 0.5000 0.5000 0.5000  18 H 2.60-2.65
Al: 0.0000 0.0000 0.0000  6 H 1.88
H: 0.1829 0.1829 0.4513  1 Ru 1.66, 3 H 1.80
H: 0.6241 0.0503 0.2754  1 Ru 1.66, 1 H 1.80
H: 0.8171 0.8171 0.5487  1 Ru 1.66, 3 H 1.80
H: 0.0503 0.6241 0.2754  1 Ru 1.66, 1 H 1.80
H: 0.9497 0.3759 0.7246  1 Ru 1.66, 1 H 1.80
H: 0.0503 0.0503 0.2754  1 Ru 1.66, 1 H 1.80
H: 0.9497 0.9497 0.7246  1 Ru 1.66, 1 H 1.80
H: 0.3759 0.9497 0.7246  1 Ru 1.66, 1 H 1.80
Ru: 0.2833 0.2833 0.1500  4 H 1.66
Ru: 0.7167 0.7167 0.8500  4 H 1.66

SG = R-3m (166)
E = -59.185 eV per cell
volume = 8.3 Å³/atom
calculated density = 7856 kg/m3
magnetization = 0.00 μB per cell